Entry from Alexandria: an optimized crystal structure of V2HgTe (GGA-PBE). Values from VASP.

Quantum ESPRESSO input file:
```
&SYSTEM
  ibrav = 0, nat = 4, ntyp = 3
/
ATOMIC_SPECIES
Hg 200.59 Hg.upf
V 50.94 V.upf
Te 127.60 Te.upf
CELL_PARAMETERS angstrom
0.000 3.308 3.308
3.308 0.000 3.308
3.308 3.308 0.000
ATOMIC_POSITIONS crystal
Hg 0.500 0.500 0.500
V 0.750 0.750 0.750
V 0.250 0.250 0.250
Te 0.000 0.000 0.000
```

Computed properties:
Its space group is No. 225. As for the energy above the most stable polymorph in this dataset: 0 meV/atom.

Entry from Alexandria: an optimized crystal structure of SbOs2SeF (GGA-PBE). Values from VASP.

Quantum ESPRESSO input file:
```
&SYSTEM
  ibrav = 0, nat = 5, ntyp = 4
/
ATOMIC_SPECIES
Se 78.96 Se.upf
Os 190.23 Os.upf
Sb 121.76 Sb.upf
F 19.00 F.upf
CELL_PARAMETERS angstrom
-1.753 4.505 -1.178
-0.688 -1.274 -3.847
-4.581 -1.444 1.297
ATOMIC_POSITIONS crystal
Se 0.500 0.500 0.500
Os 0.500 0.000 0.000
Os 0.000 0.000 0.500
Sb 0.000 0.000 0.000
F 0.000 0.500 0.000
```

Computed properties:
Its space group is No. 123.

Entry from Alexandria: an optimized crystal structure of TlCr2Cu (GGA-PBE). Values from VASP.

Quantum ESPRESSO input file:
```
&SYSTEM
  ibrav = 0, nat = 4, ntyp = 3
/
ATOMIC_SPECIES
Cr 52.00 Cr.upf
Tl 204.38 Tl.upf
Cu 63.55 Cu.upf
CELL_PARAMETERS angstrom
-1.328 -1.147 -3.910
-1.418 -3.090 1.388
-3.190 1.724 0.578
ATOMIC_POSITIONS crystal
Cr 0.000 0.000 0.000
Cr 0.000 0.500 0.500
Tl 0.500 0.000 0.500
Cu 0.500 0.500 0.000
```

Computed properties:
Its space group is No. 123. For the formation energy, the calculation gives 0.69 eV/atom.

Entry from Alexandria: an optimized crystal structure of TaTlSb2Pd (GGA-PBE). Values from VASP.

Quantum ESPRESSO input file:
```
&SYSTEM
  ibrav = 0, nat = 5, ntyp = 4
/
ATOMIC_SPECIES
Tl 204.38 Tl.upf
Sb 121.76 Sb.upf
Pd 106.42 Pd.upf
Ta 180.95 Ta.upf
CELL_PARAMETERS angstrom
5.515 0.000 0.000
0.000 5.247 0.000
0.000 0.000 5.515
ATOMIC_POSITIONS crystal
Tl 0.000 0.000 0.000
Sb 0.000 0.000 0.500
Sb 0.500 0.000 0.000
Pd 0.500 0.500 0.500
Ta 0.000 0.500 0.000
```

Computed properties:
Its space group is No. 123.

Number 1: energy -19.9 eV per formula unit. Number 2: energy -26.2 eV per formula unit. Number 3: energy -23.0 eV per formula unit. Number 4: energy -18.6 eV per formula unit.